Computed, not measured: a relaxed LaNi4W crystal at the GGA-PBE level of DFT.

abc: 4.991 4.991 4.991
angles: 60.00 60.00 60.00
Positions (direct):
La (0.000, 0.000, 0.000)
Ni (0.131, 0.623, 0.623)
Ni (0.623, 0.131, 0.623)
Ni (0.623, 0.623, 0.131)
Ni (0.623, 0.623, 0.623)
W (0.250, 0.250, 0.250)

## Properties
- Spin magnetization: 2.66 μB per cell
- Uncorrected energy: -6.659 eV per atom
- Energy of formation: 0.176 eV/atom
- Symmetry: F-43m, No. 216

Computed, not measured: a relaxed La2Ni2W crystal at the GGA-PBE level of DFT.

abc: 9.451 9.451 9.451
angles: 159.38 159.38 29.32
Positions (direct):
La (0.114, 0.114, 0.000)
La (0.886, 0.886, 0.000)
Ni (0.250, 0.750, 0.500)
Ni (0.750, 0.250, 0.500)
W (0.500, 0.500, 0.000)

## Properties
- Spin magnetization: 0.00 μB per cell
- Uncorrected energy: -6.442 eV per atom
- Energy of formation: 0.433 eV/atom
- Symmetry: I4/mmm, No. 139
- Energy relative to the lowest polymorph listed for this composition: 0.241 eV per atom

Question: What is the spin magnetization in the first record?
Answer: 2.66 μB per cell

Repeat the second record exactly.
Computed, not measured: a relaxed La2Ni2W crystal at the GGA-PBE level of DFT.

abc: 9.451 9.451 9.451
angles: 159.38 159.38 29.32
Positions (direct):
La (0.114, 0.114, 0.000)
La (0.886, 0.886, 0.000)
Ni (0.250, 0.750, 0.500)
Ni (0.750, 0.250, 0.500)
W (0.500, 0.500, 0.000)

## Properties
- Spin magnetization: 0.00 μB per cell
- Uncorrected energy: -6.442 eV per atom
- Energy of formation: 0.433 eV/atom
- Symmetry: I4/mmm, No. 139
- Energy relative to the lowest polymorph listed for this composition: 0.241 eV per atom

What did the first record say?
Computed, not measured: a relaxed LaNi4W crystal at the GGA-PBE level of DFT.

abc: 4.991 4.991 4.991
angles: 60.00 60.00 60.00
Positions (direct):
La (0.000, 0.000, 0.000)
Ni (0.131, 0.623, 0.623)
Ni (0.623, 0.131, 0.623)
Ni (0.623, 0.623, 0.131)
Ni (0.623, 0.623, 0.623)
W (0.250, 0.250, 0.250)

## Properties
- Spin magnetization: 2.66 μB per cell
- Uncorrected energy: -6.659 eV per atom
- Energy of formation: 0.176 eV/atom
- Symmetry: F-43m, No. 216

Question: What is the uncorrected energy in the first record?
Answer: -6.659 eV per atom